The following is a DFT calculation (PBE) of a relaxed Cr2PHW crystal.

```
Cr2PHW
1.0
4.8907 0.0000 0.0000
0.0000 4.5732 0.0000
0.0000 0.0000 4.8907
W Cr H P
1 2 1 1
Cartesian
0.0000 0.0000 0.0000 W
0.0000 0.0000 2.4453 Cr
2.4453 0.0000 0.0000 Cr
2.4453 2.2866 2.4453 H
0.0000 2.2866 0.0000 P
```

Values from the calculation:
As for the space group: P4/mmm, No. 123. The value obtained for the volume is 21.88 Å³/atom. The density of states at the Fermi level is 3.2 states/eV/cell. The calculated total energy comes out at -6.637 eV per atom.